# Cs2LiTaIn PBEsol optimized geometry
# - V (Å³/cell) = 193.5
# - total moment (μB/atom) = 0.90
# - raw total energy (eV per cell) = -12.27
# - energy of formation from the pure elements (eV/atom) = 1.423
data_Cs2LiTaIn
_symmetry_space_group_name_H-M 'P 4/m m m'
_symmetry_Int_Tables_number 123
_symmetry_space_group_name_Hall '-P 4 2'
_cell_length_a 5.9869
_cell_length_b 5.9869
_cell_length_c 5.3997
_cell_angle_alpha 90.00
_cell_angle_beta 90.00
_cell_angle_gamma 90.00
loop_
_atom_site_label
_atom_site_type_symbol
_atom_site_fract_x
_atom_site_fract_y
_atom_site_fract_z
_atom_site_occupancy
Cs1 Cs 0.0000 0.5000 0.0000 1
Li1 Li 0.0000 0.0000 0.0000 1
Ta1 Ta 0.5000 0.5000 0.5000 1
In1 In 0.0000 0.0000 0.5000 1

***

# CsMnIn2Pb PBEsol optimized geometry
# - V (Å³/cell) = 136.1
# - total moment (μB/atom) = 0.00
# - raw total energy (eV per cell) = -20.07
# - energy of formation from the pure elements (eV/atom) = 0.119
data_CsMnIn2Pb
_symmetry_space_group_name_H-M 'P 4/m m m'
_symmetry_Int_Tables_number 123
_symmetry_space_group_name_Hall '-P 4 2'
_cell_length_a 5.1639
_cell_length_b 5.1639
_cell_length_c 5.1031
_cell_angle_alpha 90.00
_cell_angle_beta 90.00
_cell_angle_gamma 90.00
loop_
_atom_site_label
_atom_site_type_symbol
_atom_site_fract_x
_atom_site_fract_y
_atom_site_fract_z
_atom_site_occupancy
Cs1 Cs 0.0000 0.0000 0.0000 1
Mn1 Mn 0.5000 0.5000 0.5000 1
In1 In 0.0000 0.5000 0.5000 1
Pb1 Pb 0.5000 0.5000 0.0000 1

***

# Cs3InMo PBEsol optimized geometry
# - V (Å³/cell) = 337.0
# - total moment (μB/atom) = 1.08
# - raw total energy (eV per cell) = -10.70
# - energy of formation from the pure elements (eV/atom) = 1.376
data_Cs3InMo
_symmetry_space_group_name_H-M 'P m -3 m'
_symmetry_Int_Tables_number 221
_symmetry_space_group_name_Hall '-P 4 2 3'
_cell_length_a 6.9588
_cell_length_b 6.9588
_cell_length_c 6.9588
_cell_angle_alpha 90.00
_cell_angle_beta 90.00
_cell_angle_gamma 90.00
loop_
_atom_site_label
_atom_site_type_symbol
_atom_site_fract_x
_atom_site_fract_y
_atom_site_fract_z
_atom_site_occupancy
Cs1 Cs 0.0000 0.0000 0.5000 1
In1 In 0.5000 0.5000 0.5000 1
Mo1 Mo 0.0000 0.0000 0.0000 1

***

# CsIn2ReMo PBEsol optimized geometry
# - V (Å³/cell) = 172.0
# - total moment (μB/atom) = 1.36
# - raw total energy (eV per cell) = -15.69
# - energy of formation from the pure elements (eV/atom) = 3.263
data_CsIn2ReMo
_symmetry_space_group_name_H-M 'P 4/m m m'
_symmetry_Int_Tables_number 123
_symmetry_space_group_name_Hall '-P 4 2'
_cell_length_a 5.8406
_cell_length_b 5.8406
_cell_length_c 5.0427
_cell_angle_alpha 90.00
_cell_angle_beta 90.00
_cell_angle_gamma 90.00
loop_
_atom_site_label
_atom_site_type_symbol
_atom_site_fract_x
_atom_site_fract_y
_atom_site_fract_z
_atom_site_occupancy
Cs1 Cs 0.0000 0.0000 0.0000 1
In1 In 0.0000 0.5000 0.0000 1
Re1 Re 0.5000 0.5000 0.5000 1
Mo1 Mo 0.0000 0.0000 0.5000 1

***

# Cs2Na3InO4 PBEsol optimized geometry
# - V (Å³/cell) = 743.2
# - total moment (μB/atom) = 0.00
# - E_form (uncorrected) (eV/atom) = -1.3728
# - raw total energy (eV per cell) = -175.17
data_Cs2Na3InO4
_symmetry_space_group_name_H-M 'P 1 21/c 1'
_symmetry_Int_Tables_number 14
_cell_length_a 6.3570
_cell_length_b 10.0822
_cell_length_c 12.4294
_cell_angle_alpha 90.00
_cell_angle_beta 111.11
_cell_angle_gamma 90.00
loop_
_symmetry_equiv_pos_as_xyz
'x,y,z'
'-x,-y,-z'
'-x,y+1/2,-z+1/2'
'x,-y+1/2,z+1/2'
loop_
_atom_site_label
_atom_site_type_symbol
_atom_site_fract_x
_atom_site_fract_y
_atom_site_fract_z
_atom_site_occupancy
Cs1 Cs 0.2089 0.2211 0.1056 1
Cs2 Cs 0.2338 0.9999 0.8636 1
Na1 Na 0.1068 0.7489 0.1995 1
Na2 Na 0.1387 0.0109 0.4314 1
Na3 Na 0.4148 0.5292 0.7960 1
In1 In 0.3988 0.7185 0.0646 1
O1 O 0.2360 0.5668 0.1226 1
O2 O 0.2603 0.1830 0.3486 1
O3 O 0.2828 0.6925 0.8867 1
O4 O 0.2863 0.6011 0.6066 1

***

# Cs3InO3 PBEsol optimized geometry
# - V (Å³/cell) = 687.5
# - total moment (μB/atom) = 0.01
# - E_form (uncorrected) (eV/atom) = -1.3852
# - raw total energy (eV per cell) = -125.02
data_Cs3InO3
_symmetry_space_group_name_H-M 'P 1 21/c 1'
_symmetry_Int_Tables_number 14
_cell_length_a 8.0835
_cell_length_b 7.2831
_cell_length_c 11.7270
_cell_angle_alpha 90.00
_cell_angle_beta 95.28
_cell_angle_gamma 90.00
loop_
_symmetry_equiv_pos_as_xyz
'x,y,z'
'-x,-y,-z'
'-x,y+1/2,-z+1/2'
'x,-y+1/2,z+1/2'
loop_
_atom_site_label
_atom_site_type_symbol
_atom_site_fract_x
_atom_site_fract_y
_atom_site_fract_z
_atom_site_occupancy
Cs1 Cs 0.0486 0.1258 0.1567 1
Cs2 Cs 0.3499 0.1662 0.9274 1
Cs3 Cs 0.3751 0.6781 0.8077 1
In1 In 0.1558 0.5865 0.0684 1
O1 O 0.1031 0.0515 0.4083 1
O2 O 0.2467 0.6558 0.5415 1
O3 O 0.2902 0.0532 0.6968 1